[1]
! K2LiCu3F12, relaxed, DFT GGA-PBE; values from VASP
! - SG: No. 166
! - Formation energy without anion corrections: -1.91 eV/atom
&SYSTEM
  ibrav = 0, nat = 18, ntyp = 4
/
ATOMIC_SPECIES
K 39.10 K.upf
Li 6.94 Li.upf
Cu 63.55 Cu.upf
F 19.00 F.upf
ATOMIC_POSITIONS angstrom
K -0.4113 -10.3803 1.6707
K -0.2380 -6.0063 0.9667
Li 0.0000 0.0000 0.0000
Cu -0.4345 -2.3851 2.5089
Cu -1.7606 -2.8789 -0.8856
Cu 1.8705 -2.9293 -0.3046
F 2.0938 -8.7024 0.4480
F -2.7169 -11.6445 2.7554
F -0.0998 -12.2624 -0.4391
F -0.7357 -8.0343 3.9018
F 1.4058 -11.7017 3.4150
F -2.3636 -8.6405 -0.2652
F -2.7431 -7.6843 2.1895
F 2.0676 -4.7422 -0.1179
F -0.5495 -4.1243 3.0766
F 0.0864 -8.3523 -1.2643
F -2.0551 -4.6850 -0.7775
F 1.7143 -7.7462 2.9027
CELL_PARAMETERS angstrom
-0.8690 -4.7702 5.0179
-3.5213 -5.7579 -1.7712
3.7410 -5.8586 -0.6092

[2]
! KLiCuF3, relaxed, DFT GGA-PBE; values from VASP
! - SG: No. 12
! - Formation energy without anion corrections: -2.15 eV/atom
&SYSTEM
  ibrav = 0, nat = 12, ntyp = 4
/
ATOMIC_SPECIES
K 39.10 K.upf
Li 6.94 Li.upf
Cu 63.55 Cu.upf
F 19.00 F.upf
ATOMIC_POSITIONS angstrom
K 7.9160 4.7618 4.8755
K 2.9829 1.7943 0.9848
Li 2.5109 1.5104 4.4341
Li 8.3880 5.0457 1.4263
Cu 4.7487 4.4430 2.9302
Cu 6.1502 2.1131 2.9302
F 3.8284 2.3029 3.5419
F 5.0047 4.9227 4.7497
F 6.6940 2.1144 4.7497
F 4.2050 4.4417 1.1106
F 5.8943 1.6334 1.1106
F 7.0705 4.2532 2.3184
CELL_PARAMETERS angstrom
5.8727 -0.0908 0.0200
2.6717 5.2305 0.0200
2.3546 1.4164 5.8202

[3]
! K3LiCu2F6, relaxed, DFT GGA-PBE; values from VASP
! - SG: No. 164
! - Formation energy without anion corrections: -2.05 eV/atom
&SYSTEM
  ibrav = 0, nat = 12, ntyp = 4
/
ATOMIC_SPECIES
K 39.10 K.upf
Li 6.94 Li.upf
Cu 63.55 Cu.upf
F 19.00 F.upf
ATOMIC_POSITIONS angstrom
K -2.6815 0.9952 4.9024
K -3.7597 -1.0450 1.4168
K 0.0000 0.0000 0.0000
Li -2.0016 2.2068 1.4762
Cu -5.5452 0.9236 2.7336
Cu -0.8960 -0.9734 3.5855
F -2.5129 -1.9548 4.0558
F -1.2145 0.4222 2.2628
F 0.0809 -0.3308 5.1448
F -5.2268 -0.4720 4.0563
F -3.9284 1.9050 2.2634
F -6.5221 0.2811 1.1744
CELL_PARAMETERS angstrom
-4.8704 -3.0494 -2.0449
2.4323 -1.4140 5.4116
-4.0031 4.4137 2.9525

[4]
! K3LiCu2F9, relaxed, DFT GGA-PBE; values from VASP
! - SG: No. 164
! - Formation energy without anion corrections: -2.26 eV/atom
&SYSTEM
  ibrav = 0, nat = 15, ntyp = 4
/
ATOMIC_SPECIES
K 39.10 K.upf
Li 6.94 Li.upf
Cu 63.55 Cu.upf
F 19.00 F.upf
ATOMIC_POSITIONS angstrom
K -5.4340 -1.5621 -0.3688
K 0.0000 0.0000 0.0000
K -3.3243 1.4201 -1.9061
Li -3.1851 0.4005 1.4157
Cu -2.3328 -1.9520 -1.7471
Cu -6.4255 1.8100 -0.5278
F -5.3782 3.2645 -1.2862
F -6.0471 0.6656 -2.0559
F -4.8806 1.1262 0.4384
F -3.8778 -1.2683 -2.7133
F -2.7113 -0.8077 -0.2191
F -3.3801 -3.4066 -0.9887
F -0.5094 2.1888 -1.7653
F -0.6846 -2.6603 -0.7879
F -1.1940 -0.4715 -2.5531
CELL_PARAMETERS angstrom
-1.0188 4.3776 -3.5306
-1.3693 -5.3205 -1.5757
-6.3703 0.8009 2.8313

[5]
! K2MgCu3F12, relaxed, DFT GGA-PBE; values from VASP
! - SG: No. 166
! - Formation energy without anion corrections: -2.13 eV/atom
&SYSTEM
  ibrav = 0, nat = 18, ntyp = 4
/
ATOMIC_SPECIES
K 39.10 K.upf
Mg 24.30 Mg.upf
Cu 63.55 Cu.upf
F 19.00 F.upf
ATOMIC_POSITIONS angstrom
K 8.9829 5.2288 3.7087
K 5.1922 3.0223 2.1437
Mg 0.0000 0.0000 0.0000
Cu 3.5825 -0.0192 -0.0136
Cu 1.7525 3.1247 -0.0136
Cu 1.7525 1.0201 2.9535
F 6.6991 3.8994 5.4526
F 11.0198 6.4145 1.8957
F 8.8418 7.6515 5.4271
F 8.9040 2.6472 1.8776
F 11.0198 3.9097 5.4271
F 6.6991 6.4351 1.8776
F 7.4761 4.3517 0.3999
F 3.1553 1.8367 3.9567
F 5.3333 0.5997 0.4253
F 5.2712 5.6039 3.9748
F 3.1553 4.3414 0.4253
F 7.4761 1.8160 3.9748
CELL_PARAMETERS angstrom
7.1650 -0.0384 -0.0273
3.5050 6.2493 -0.0273
3.5050 2.0402 5.9070

[6]
! K4MgCu3F12, relaxed, DFT GGA-PBE; values from VASP
! - Energy above the most stable polymorph in this dataset: 5.6 meV/atom
! - SG: No. 229
! - Formation energy without anion corrections: -2.39 eV/atom
&SYSTEM
  ibrav = 0, nat = 20, ntyp = 4
/
ATOMIC_SPECIES
K 39.10 K.upf
Mg 24.30 Mg.upf
Cu 63.55 Cu.upf
F 19.00 F.upf
ATOMIC_POSITIONS angstrom
K -0.8828 2.4507 2.3779
K 1.0023 -1.0620 3.2105
K -3.4946 0.4752 -0.0434
K 1.6094 3.0375 -0.7892
Mg 0.0000 0.0000 0.0000
Cu -2.4922 -0.5868 3.1671
Cu 2.6117 1.9755 2.4212
Cu -1.8851 3.5127 -0.8326
F 1.6692 3.7319 2.0050
F -1.2361 -0.2911 1.5709
F 3.9281 2.9711 3.6416
F 1.2954 0.9798 1.2009
F -0.9350 1.7423 -0.4130
F -3.7483 -0.8826 4.7633
F -2.8352 5.2832 -1.2522
F -3.4348 1.1695 2.7508
F -1.1864 0.4009 4.3777
F -0.5793 4.5005 0.3780
F -3.1313 3.2193 0.7510
F 1.3656 1.6821 4.0048
CELL_PARAMETERS angstrom
-6.9891 0.9504 -0.0867
2.0046 -2.1241 6.4209
3.2188 6.0750 -1.5784